No. 1
Computed, not measured: a geometry-optimized SrH3Ru structure at the GGA-PBE level of DFT.

```
data_SrH3Ru
_chemical_formula_sum 'Sr1 H3 Ru1'
_cell_length_a 3.7493
_cell_length_b 3.7493
_cell_length_c 3.7493
_cell_angle_alpha 90.00
_cell_angle_beta 90.00
_cell_angle_gamma 90.00
_symmetry_space_group_name_H-M 'P m -3 m'
_symmetry_Int_Tables_number 221
_symmetry_space_group_name_Hall '-P 4 2 3'
loop_
_atom_site_label
_atom_site_type_symbol
_atom_site_fract_x
_atom_site_fract_y
_atom_site_fract_z
Sr1 Sr 0.0000 0.0000 0.0000
H1 H 0.0000 0.5000 0.5000
Ru1 Ru 0.5000 0.5000 0.5000
```

As for the crystal system: cubic. The value obtained for the uncorrected energy is -4.582 eV per atom.


No. 2
Computed, not measured: a geometry-optimized Sr2TlH6Ru structure at the GGA-PBE level of DFT.

```
data_Sr2TlH6Ru
_chemical_formula_sum 'Sr2 Tl1 H6 Ru1'
_cell_length_a 5.1142
_cell_length_b 5.1142
_cell_length_c 7.1642
_cell_angle_alpha 90.00
_cell_angle_beta 90.00
_cell_angle_gamma 120.00
_symmetry_space_group_name_H-M 'P -3 m 1'
_symmetry_Int_Tables_number 164
_symmetry_space_group_name_Hall '-P 3 2"'
loop_
_atom_site_label
_atom_site_type_symbol
_atom_site_fract_x
_atom_site_fract_y
_atom_site_fract_z
Sr1 Sr 0.3333 0.6667 0.3342
Tl1 Tl 0.0000 0.0000 0.0000
H1 H 0.1606 0.3211 0.6363
Ru1 Ru 0.0000 0.0000 0.5000
```

As for the crystal system: trigonal. The value obtained for the uncorrected energy is -3.890 eV per atom.


| no. | calculated volume (Å³/atom) |
| --- | --- |
| 1 | 10.54 |
| 2 | 16.23 |